Entry 1:
The following is a DFT calculation (PBE) of a geometry-optimized BaVTcS2 structure.

POSCAR file:
```
BaVTcS2
1.0
4.6352 0.0000 0.0000
0.0000 4.6352 0.0000
0.0000 0.0000 6.3350
Ba V Tc S
1 1 1 2
direct
0.0000 0.0000 0.0000
0.0000 0.0000 0.5000
0.5000 0.5000 0.0000
0.0000 0.5000 0.5000
0.5000 0.0000 0.5000
```

Calculated values
- Energy relative to the elements, uncorrected: 0.626 eV per atom
- Calculated total energy: -5.3062 eV/atom
- D(E_F): 0.860 states/eV/atom
- Spin magnetization: 1.239 μB per atom
- Theoretical density: 4.275 Mg/m³
- Symmetry: No. 123

=====

Entry 2:
The following is a DFT calculation (PBE) of a geometry-optimized Sc3Sn3H2 structure.

POSCAR file:
```
Sc3Sn3H2
1.0
1.7413 -5.5629 0.0000
1.7413 5.5629 0.0000
0.0000 0.0000 15.2191
Sc Sn H
6 6 4
direct
0.1510 0.8490 0.5559
0.1510 0.8490 0.9441
0.1940 0.8060 0.2500
0.8060 0.1940 0.7500
0.8490 0.1510 0.0559
0.8490 0.1510 0.4441
0.0828 0.9172 0.7500
0.4320 0.5680 0.6112
0.4320 0.5680 0.8888
0.5680 0.4320 0.1112
0.5680 0.4320 0.3888
0.9172 0.0828 0.2500
0.2697 0.7303 0.0427
0.2697 0.7303 0.4573
0.7303 0.2697 0.5427
0.7303 0.2697 0.9573
```

Calculated values
- Calculated total energy: -5.1793 eV/atom
- D(E_F): 0.623 states/eV/atom
- Spin magnetization: 0.000 μB per atom
- Theoretical density: 5.553 Mg/m³
- Symmetry: No. 63

=====

Which of these has the highest spin magnetization? BaVTcS2

=====

D(E_F) of number 1 (BaVTcS2)? 0.860 states/eV/atom